Record 1
Below is a crystal of BeCd2 relaxed with PBEsol, with properties calculated at the SCAN level.

```
BeCd2
1.0
4.386 0.000 0.000
-2.193 3.799 0.000
0.000 0.000 6.098
Be Cd
2 4
direct
0.333 0.667 0.250
0.667 0.333 0.750
0.000 0.000 0.000
0.000 0.000 0.500
0.333 0.667 0.750
0.667 0.333 0.250
```

Summary:
The value obtained for the energy relative to the lowest polymorph listed for this composition is 168 meV/atom. The space-group type is P6_3/mmc, No. 194. Its formation enthalpy at 0 K is 1.14 eV/f.u.

Record 2
Below is a crystal of TlSiAs relaxed with PBEsol, with properties calculated at the SCAN level.

```
TlSiAs
1.0
0.000 3.330 3.330
3.330 0.000 3.330
3.330 3.330 0.000
Tl Si As
1 1 1
direct
0.000 0.000 0.000
0.250 0.250 0.250
0.750 0.750 0.750
```

Summary:
The space-group type is F-43m, No. 216. As for the raw formation energy: 888 meV per atom.

Number 1: electronic total energy -128.08 eV/cell, DOS(E_F) 0.28 states/eV/atom. Number 2: electronic total energy -99.90 eV/cell, DOS(E_F) 0.78 states/eV/atom.